Computed, not measured: FeCoN2F after structural relaxation at the PBE with a Hubbard U level of DFT. Values from VASP.

```
&SYSTEM
  ibrav = 0, nat = 5, ntyp = 4
/
ATOMIC_SPECIES
Fe 55.84 Fe.upf
Co 58.93 Co.upf
N 14.01 N.upf
F 19.00 F.upf
CELL_PARAMETERS angstrom
3.6446 0.0000 0.0000
0.0000 3.6446 0.0000
0.0000 0.0000 4.1471
ATOMIC_POSITIONS crystal
Fe 0.0000 0.0000 0.0000
Co 0.5000 0.5000 0.5000
N 0.0000 0.5000 0.5000
N 0.5000 0.0000 0.5000
F 0.5000 0.5000 0.0000
```

- Energy: -26.751 eV/cell
- Spin magnetization: 7.1 μB/f.u.
- Space group: No. 123